Below is Tb2CeSc3S6 after structural relaxation, with properties calculated at the PBE-GGA level.

a = 16.697 Å, b = 3.809 Å, c = 7.700 Å
α = 90.00°, β = 103.69°, γ = 90.00°
Space group C2/m (No. 12)
One atom of each set of equivalent atoms:
Tb (0.166, 0.000, 0.331)
Ce (0.000, 0.500, 0.000)
Sc (0.000, 0.500, 0.500)
Sc (0.166, 0.000, 0.837)
S (0.004, 0.000, 0.733)
S (0.164, 0.500, 0.594)
S (0.173, 0.500, 0.076)

Computed properties:
calculated volume: 19.8 A^3/atom
formation energy without anion corrections: -2239 kJ/mol of formula units
mass density: 5.5 g cm⁻³
density of states at the Fermi level: 20.014 states/eV per cell
total magnetization: 1.65 μB per cell

---

Below is TmAlPd after structural relaxation, with properties calculated at the PBE-GGA level.

a = 6.779 Å, b = 4.422 Å, c = 7.784 Å
α = 90.00°, β = 90.00°, γ = 90.00°
Space group Pnma (No. 62)
One atom of each set of equivalent atoms:
Tm (0.032, 0.250, 0.181)
Al (0.145, 0.250, 0.560)
Pd (0.232, 0.750, 0.381)

Computed properties:
formation enthalpy at 0 K: -0.895 eV/atom
calculated volume: 19.4 A^3/atom
mass density: 8.6 g cm⁻³
density of states at the Fermi level: 5.561 states/eV per cell
total magnetization: 0.00 μB per cell